No. 1
An optimized crystal structure of ZnMoIrRu, computed with PBE-GGA.

a = 4.3569 Å, b = 4.3569 Å, c = 4.3569 Å
α = 60.00°, β = 60.00°, γ = 60.00°
Sites, in units of the cell vectors:
1 Zn 0.0000 0.0000 0.0000
2 Mo 0.5000 0.5000 0.5000
3 Ir 0.7500 0.7500 0.7500
4 Ru 0.2500 0.2500 0.2500

Summary:
* total magnetization: 0.1041 μB/atom
* formation enthalpy at 0 K: -27 meV/atom
* volume: 58.5 Å³ per cell
* crystal system: cubic
* space-group type: F-43m

No. 2
An optimized crystal structure of Ce2YSn2, computed with PBE-GGA.

a = 5.5051 Å, b = 5.5051 Å, c = 7.9104 Å
α = 125.11°, β = 125.11°, γ = 49.11°
Sites, in units of the cell vectors:
1 Ce 0.1701 0.1701 0.0984
2 Ce 0.8299 0.8299 0.9016
3 Y 0.0000 0.0000 0.5000
4 Sn 0.4214 0.4214 0.7068
5 Sn 0.5786 0.5786 0.2932

Summary:
* total magnetization: 0.2588 μB/atom
* formation enthalpy at 0 K: -571 meV/atom
* volume: 140.4 Å³ per cell
* crystal system: monoclinic
* space-group type: C2/m

No. 3
An optimized crystal structure of Hf3NbN, computed with PBE-GGA.

a = 4.4559 Å, b = 4.4559 Å, c = 4.4559 Å
α = 90.00°, β = 90.00°, γ = 90.00°
Sites, in units of the cell vectors:
1 Hf 0.0000 0.0000 0.5000
2 Hf 0.0000 0.5000 0.0000
3 Hf 0.5000 0.0000 0.0000
4 Nb 0.5000 0.5000 0.5000
5 N 0.0000 0.0000 0.0000

Summary:
* total magnetization: 0.0000 μB/atom
* E_form (uncorrected): -0.72 eV/atom
* volume: 88.5 Å³ per cell
* crystal system: cubic
* space-group type: Pm-3m

No. 4
An optimized crystal structure of K2PtPb, computed with PBE-GGA.

a = 4.5426 Å, b = 4.5426 Å, c = 5.4604 Å
α = 90.00°, β = 90.00°, γ = 90.00°
Sites, in units of the cell vectors:
1 K 0.0000 0.5000 0.0000
2 K 0.5000 0.0000 0.0000
3 Pt 0.0000 0.0000 0.5000
4 Pb 0.5000 0.5000 0.5000

Summary:
* total magnetization: 0.0327 μB/atom
* formation enthalpy at 0 K: 91 meV/atom
* volume: 112.7 Å³ per cell
* crystal system: tetragonal
* space-group type: P4/mmm